[1]
LaGeI2: optimized geometry, PBE.

Summary:
The value obtained for the raw total energy is -3.589 eV per atom. Its space-group type is Fm-3m. Its density of states at the Fermi level is 7.5 states/eV per cell. The polymorph energy (0 for the lowest one) is 0.0 kJ per mole of atoms. The calculation puts the density at 5.9 Mg/m³.

```
4
Lattice="5.4828 -1.4214 0.6882 1.9375 -1.4809 5.1584 1.4303 -5.4204 1.0623" Properties=species:S:1:pos:R:3 pbc="T T T"
La 4.4253 -4.1613 3.4544
I 6.6380 -6.2420 5.1817
I 2.2127 -2.0807 1.7272
Ge 0.0000 0.0000 0.0000
```

---

[2]
TaCd2Ag: optimized geometry, PBE.

Summary:
As for the formation energy: 0.51 eV/atom. The value obtained for the raw total energy is -3.621 eV per atom. Its space-group type is Fm-3m. Its density of states at the Fermi level is 2.4 states/eV per cell. The polymorph energy (0 for the lowest one) is 35.0 kJ per mole of atoms. The calculation puts the density at 11.0 Mg/m³.

```
4
Lattice="0.0000 3.3816 3.3816 3.3816 0.0000 3.3816 3.3816 3.3816 0.0000" Properties=species:S:1:pos:R:3 pbc="T T T"
Cd 5.0724 5.0724 5.0724
Cd 1.6908 1.6908 1.6908
Ag 0.0000 0.0000 0.0000
Ta 3.3816 3.3816 3.3816
```

---

[3]
Tb3TlAu2: optimized geometry, PBE.

Summary:
As for the formation energy: -0.69 eV/atom. The value obtained for the raw total energy is -4.488 eV per atom. Its space-group type is P4/mmm. Its density of states at the Fermi level is 3.5 states/eV per cell. The calculation puts the density at 11.9 Mg/m³.

```
6
Lattice="-1.3529 -3.3067 0.5587 3.1356 -1.4610 -1.0538 3.7728 0.2861 10.8297" Properties=species:S:1:pos:R:3 pbc="T T T"
Tb 2.5861 0.1961 7.4234
Tb 1.1867 0.0900 3.4063
Tb 0.0000 0.0000 0.0000
Au 1.5015 -2.3376 1.5038
Au 4.0540 -2.1440 8.8309
Tl 2.7777 -2.2408 5.1673
```

---

[4]
TiMn2As4: optimized geometry, PBE.

Summary:
As for the formation energy: -0.35 eV/atom. The value obtained for the raw total energy is -6.753 eV per atom. Its space-group type is C2/m. Its density of states at the Fermi level is 4.7 states/eV per cell. The calculation puts the density at 6.3 Mg/m³.

```
7
Lattice="3.3144 0.0000 -0.8653 -0.7211 5.3143 -2.7621 0.0628 -0.3712 7.0211" Properties=species:S:1:pos:R:3 pbc="T T T"
Ti 0.0000 0.0000 0.0000
Mn 1.9605 4.1645 0.7290
Mn 0.6956 0.7786 2.6646
As 1.3836 4.6257 -1.4806
As 1.2725 0.3173 4.8743
As 0.2139 2.4468 0.8195
As 2.4422 2.4963 2.5742
```